(1)
Crystalline MnNiHg2P at its relaxed geometry, computed with PBE.

Unit cell a=5.068 b=5.068 c=4.450 alpha=90.00 beta=90.00 gamma=90.00
Fractional coordinates of all 5 atoms:
Mn 0.000 0.000 0.000
Ni 0.000 0.000 0.500
Hg 0.000 0.500 0.000
Hg 0.500 0.000 0.000
P 0.500 0.500 0.500

Output
**Energy of formation from the pure elements**: 1120.6 meV per atom
**Space group**: P4/mmm, No. 123
**Final energy**: -3.072 eV per atom

(2)
Crystalline La2TmMg9 at its relaxed geometry, computed with PBE.

Unit cell a=10.498 b=10.498 c=10.498 alpha=33.79 beta=33.79 gamma=33.79
Fractional coordinates of all 12 atoms:
La 0.142 0.142 0.142
La 0.858 0.858 0.858
Tm 0.000 0.000 0.000
Mg 0.079 0.583 0.583
Mg 0.334 0.334 0.334
Mg 0.417 0.417 0.921
Mg 0.417 0.921 0.417
Mg 0.500 0.500 0.500
Mg 0.583 0.079 0.583
Mg 0.583 0.583 0.079
Mg 0.666 0.666 0.666
Mg 0.921 0.417 0.417

Output
**Energy of formation from the pure elements**: -39.0 meV per atom
**Space group**: R-3m, No. 166
**Final energy**: -2.429 eV per atom

(3)
Crystalline Ba2LaZn at its relaxed geometry, computed with PBE.

Unit cell a=4.517 b=5.762 c=5.971 alpha=90.00 beta=90.00 gamma=90.00
Fractional coordinates of all 4 atoms:
Ba 0.000 0.000 0.000
Ba 0.500 0.500 0.000
La 0.000 0.500 0.500
Zn 0.500 0.000 0.500

Output
**Energy of formation from the pure elements**: 180.8 meV per atom
**Space group**: Pmmm, No. 47
**Final energy**: -2.331 eV per atom

(4)
Crystalline MgNiRu2 at its relaxed geometry, computed with PBE.

Unit cell a=2.681 b=2.681 c=7.780 alpha=90.00 beta=90.00 gamma=90.00
Fractional coordinates of all 4 atoms:
Mg 0.000 0.000 0.000
Ni 0.000 0.000 0.500
Ru 0.500 0.500 0.274
Ru 0.500 0.500 0.726

Output
**Energy of formation from the pure elements**: 195.0 meV per atom
**Space group**: P4/mmm, No. 123
**Final energy**: -6.287 eV per atom

(5)
Crystalline Na2BeTe at its relaxed geometry, computed with PBE.

Unit cell a=7.388 b=7.388 c=7.388 alpha=90.00 beta=90.00 gamma=90.00
Fractional coordinates of all 16 atoms:
Na 0.250 0.250 0.250
Na 0.250 0.250 0.750
Na 0.250 0.750 0.250
Na 0.250 0.750 0.750
Na 0.750 0.250 0.250
Na 0.750 0.250 0.750
Na 0.750 0.750 0.250
Na 0.750 0.750 0.750
Be 0.000 0.000 0.000
Be 0.000 0.500 0.500
Be 0.500 0.000 0.500
Be 0.500 0.500 0.000
Te 0.000 0.000 0.500
Te 0.000 0.500 0.000
Te 0.500 0.000 0.000
Te 0.500 0.500 0.500

Output
**Space group**: Fm-3m, No. 225
**Relative energy among the computed polymorphs**: 0 meV/atom
**Formation energy from raw total energies**: 0.076 eV per atom
**Final energy**: -2.301 eV per atom

(6)
Crystalline Na2VP2 at its relaxed geometry, computed with PBE.

Unit cell a=6.318 b=6.318 c=4.751 alpha=90.00 beta=90.00 gamma=90.00
Fractional coordinates of all 10 atoms:
Na 0.175 0.325 0.000
Na 0.325 0.825 0.000
Na 0.675 0.175 0.000
Na 0.825 0.675 0.000
V 0.000 0.000 0.500
V 0.500 0.500 0.500
P 0.129 0.629 0.500
P 0.371 0.129 0.500
P 0.629 0.871 0.500
P 0.871 0.371 0.500

Output
**Energy of formation from the pure elements**: -273.6 meV per atom
**Space group**: P4/mbm, No. 127
**Final energy**: -4.789 eV per atom

(7)
Crystalline SmGd2Sn at its relaxed geometry, computed with PBE.

Unit cell a=7.741 b=7.741 c=7.741 alpha=90.00 beta=90.00 gamma=90.00
Fractional coordinates of all 16 atoms:
Sm 0.000 0.000 0.000
Sm 0.000 0.500 0.500
Sm 0.500 0.000 0.500
Sm 0.500 0.500 0.000
Gd 0.250 0.250 0.250
Gd 0.250 0.250 0.750
Gd 0.250 0.750 0.250
Gd 0.250 0.750 0.750
Gd 0.750 0.250 0.250
Gd 0.750 0.250 0.750
Gd 0.750 0.750 0.250
Gd 0.750 0.750 0.750
Sn 0.000 0.000 0.500
Sn 0.000 0.500 0.000
Sn 0.500 0.000 0.000
Sn 0.500 0.500 0.500

Output
**Energy of formation from the pure elements**: -268.8 meV per atom
**Space group**: Fm-3m, No. 225
**Relative energy among the computed polymorphs**: 182 meV/atom
**Final energy**: -9.490 eV per atom

(8)
Crystalline YWN3 at its relaxed geometry, computed with PBE.

Unit cell a=6.759 b=6.759 c=6.186 alpha=111.85 beta=111.85 gamma=28.41
Fractional coordinates of all 10 atoms:
Y 0.000 0.000 0.000
Y 0.721 0.721 0.849
W 0.268 0.268 0.415
W 0.992 0.992 0.512
N 0.137 0.137 0.500
N 0.188 0.188 0.094
N 0.376 0.376 0.020
N 0.411 0.411 0.267
N 0.525 0.525 0.732
N 0.829 0.829 0.582

Output
**Space group**: Cm, No. 8
**Formation energy from raw total energies**: -0.709 eV per atom
**Final energy**: -9.588 eV per atom

| no. | spin magnetization (μB/cell) |
| --- | --- |
| 1 | 4.5 |
| 2 | 0.0 |
| 3 | 0.0 |
| 4 | 0.0 |
| 5 | 0.0 |
| 6 | 5.8 |
| 7 | 62.5 |
| 8 | 0.0 |